DFT (PBE) results for crystalline Hf5ZnSn3 at its relaxed geometry.

Summary:
DFT total energy, eV per cell: -133.4
Size of the total moment, μB/cell: 0.0

Cell and atoms, written as extended XYZ:
```
18
Lattice="-1.984 -3.290 -7.708 7.742 3.538 1.308 2.083 -5.176 1.673" Properties=species:S:1:pos:R:3 pbc="T T T"
Hf 1.258 -1.014 -4.702
Hf 4.500 1.262 -1.697
Hf -0.012 -2.178 -1.652
Hf 2.600 -0.344 0.770
Hf 4.732 -1.112 -4.262
Hf 2.300 -3.602 -3.866
Hf 5.541 -1.326 -0.860
Hf 0.111 -6.288 -4.383
Hf 3.109 -3.815 -0.464
Hf 7.225 -1.294 2.212
Sn -0.698 -3.316 -4.318
Sn 2.740 -1.198 -2.048
Sn 5.278 0.880 1.222
Sn 0.797 -5.150 -1.716
Sn 4.546 -2.518 1.759
Sn 5.101 -3.729 -2.678
Zn 0.000 0.000 0.000
Zn 1.041 -2.588 0.837
```

---

DFT (PBE) results for crystalline TeAu8 at its relaxed geometry.

Summary:
DFT total energy, eV per cell: -57.8

Cell and atoms, written as extended XYZ:
```
18
Lattice="-0.425 -1.691 4.625 -0.938 -4.530 1.741 27.144 -4.993 0.089" Properties=species:S:1:pos:R:3 pbc="T T T"
Au -0.012 -2.268 2.235
Au 1.347 -0.592 0.343
Au 1.360 -5.139 4.817
Au 2.688 -3.452 2.920
Au 4.078 -1.776 1.023
Au 4.061 -6.302 5.482
Au 5.408 -4.608 3.575
Au 7.100 -2.825 1.518
Au 18.680 -8.389 4.937
Au 20.372 -6.606 2.880
Au 21.719 -4.912 0.973
Au 21.702 -9.438 5.432
Au 23.092 -7.761 3.535
Au 24.420 -6.075 1.638
Au 24.433 -10.622 6.112
Au 25.792 -8.945 4.220
Te 6.849 -7.292 5.960
Te 18.931 -3.922 0.495
```

---

DFT (PBE) results for crystalline Rb2PrScO4 at its relaxed geometry.

Summary:
DFT total energy, eV per cell: -52.9
Size of the total moment, μB/cell: 0.0

Cell and atoms, written as extended XYZ:
```
8
Lattice="-2.618 1.808 1.361 0.284 -3.388 0.647 7.194 2.589 10.403" Properties=species:S:1:pos:R:3 pbc="T T T"
O 0.042 -1.395 1.933
O 2.346 -0.566 5.265
O 2.514 1.575 7.146
O 4.818 2.404 10.477
Pr 0.000 0.000 0.000
Rb 0.220 0.749 3.828
Rb 4.640 0.260 8.582
Sc 3.597 1.294 5.202
```

---

DFT (PBE) results for crystalline Dy3Mg3Ag2Au at its relaxed geometry.

Summary:
DFT total energy, eV per cell: -31.0
Size of the total moment, μB/cell: 0.0

Cell and atoms, written as extended XYZ:
```
9
Lattice="-7.483 -0.998 -0.666 3.401 -1.175 6.670 -0.629 4.030 1.030" Properties=species:S:1:pos:R:3 pbc="T T T"
Ag -4.170 0.958 2.295
Ag -0.542 0.899 4.740
Au 0.000 0.000 0.000
Dy -3.064 -0.409 -0.273
Dy 1.393 -0.481 2.732
Dy -2.411 -1.283 3.546
Mg -5.976 1.260 0.011
Mg -1.308 1.486 1.977
Mg 2.258 1.126 5.562
```

---

DFT (PBE) results for crystalline Ta13Al16 at its relaxed geometry.

Summary:
Offset from the most stable computed form, meV per atom: 71
Size of the total moment, μB/cell: 0.0

Cell and atoms, written as extended XYZ:
```
29
Lattice="-1.203 -2.066 8.432 -7.387 -1.524 -4.464 6.476 -4.890 -3.310" Properties=species:S:1:pos:R:3 pbc="T T T"
Al -0.804 -1.380 5.633
Al -3.937 -2.065 3.933
Al -4.934 -1.018 -2.982
Al -5.596 -1.919 0.471
Al -3.238 -3.392 1.410
Al -3.765 -3.278 -1.674
Al -1.163 -3.505 3.752
Al -0.702 -2.815 0.218
Al 1.895 -3.481 4.418
Al -2.366 -3.108 -4.469
Al 1.072 -4.439 1.769
Al -0.850 -4.271 -2.240
Al 4.326 -3.267 -2.211
Al 3.957 -4.239 1.266
Al 1.355 -4.011 -4.159
Al 2.067 -4.694 -1.188
Ta 0.000 0.000 0.000
Ta -1.832 -1.065 2.354
Ta -3.016 -0.961 -0.115
Ta 0.753 -1.692 2.570
Ta -1.584 -1.488 -2.304
Ta -5.748 -3.857 2.594
Ta 2.223 -2.233 0.321
Ta 1.070 -2.132 -2.083
Ta -2.692 -5.559 -0.423
Ta -1.539 -5.660 1.981
Ta -0.107 -6.187 -0.208
Ta 2.875 -5.951 3.312
Ta -0.971 -5.614 -4.710
```

---

DFT (PBE) results for crystalline TbGd2Al3AgPd2 at its relaxed geometry.

Summary:
DFT total energy, eV per cell: -44.6
Size of the total moment, μB/cell: 0.0

Cell and atoms, written as extended XYZ:
```
9
Lattice="3.923 0.000 0.000 0.000 6.411 3.703 0.000 -6.411 3.703" Properties=species:S:1:pos:R:3 pbc="T T T"
Ag 0.000 0.000 0.004
Al 1.962 1.617 0.937
Al 1.962 -1.617 0.937
Al 1.962 0.000 5.532
Gd 0.000 2.668 5.863
Gd 0.000 -2.668 5.863
Pd 1.962 2.130 3.701
Pd 1.962 -2.130 3.701
Tb 0.000 0.000 3.082
```